A relaxed Ac4PAu2 crystal. Source: the Alexandria database, functional PBE-GGA.

Cell: 5.8850 5.8850 15.1420 Å, 90.00 90.00 90.00°
Closest atoms and distances in Å follow each position.
Space group I4/mmm (No. 139)
Inequivalent atoms, fractional coordinates:
Ac (0.0000, 0.0000, 0.1980) x4  1 P 3.00, 1 Au 3.04
Ac (0.0000, 0.5000, 0.0000) x4  2 P 2.94
P (0.0000, 0.0000, 0.0000) x2  6 Ac 2.94-3.00
Au (0.0000, 0.0000, 0.3987) x4  5 Ac 3.04-3.32, 1 Au 3.07

As for the energy relative to the elements: -61.7 kJ/mol of atoms.